Entry 1:
! Zr6PPt2 PBE relaxed; values from VASP
&SYSTEM
  ibrav = 0, nat = 9, ntyp = 3
/
ATOMIC_SPECIES
Zr 91.22 Zr.upf
P 30.97 P.upf
Pt 195.08 Pt.upf
CELL_PARAMETERS angstrom
7.390 0.000 0.000
-3.695 6.400 0.000
0.000 0.000 3.807
ATOMIC_POSITIONS crystal
Zr 0.000 0.257 0.000
Zr 0.000 0.604 0.500
Zr 0.257 0.000 0.000
Zr 0.396 0.396 0.500
Zr 0.604 0.000 0.500
Zr 0.743 0.743 0.000
P 0.000 0.000 0.500
Pt 0.333 0.667 0.000
Pt 0.667 0.333 0.000
! - VASP energy: -8.46 eV per atom
! - Space-group type: No. 189
! - ΔH_f (0 K): -822.1 meV/atom
! - M_tot: 0.00 μB per formula unit



Entry 2:
! ZrPPt PBE relaxed; values from VASP
&SYSTEM
  ibrav = 0, nat = 12, ntyp = 3
/
ATOMIC_SPECIES
Zr 91.22 Zr.upf
P 30.97 P.upf
Pt 195.08 Pt.upf
CELL_PARAMETERS angstrom
9.230 0.000 0.000
0.000 3.866 0.000
-1.383 0.000 6.079
ATOMIC_POSITIONS crystal
Zr 0.107 0.000 0.280
Zr 0.393 0.500 0.720
Zr 0.607 0.500 0.280
Zr 0.893 0.000 0.720
P 0.181 0.000 0.705
P 0.319 0.500 0.295
P 0.681 0.500 0.705
P 0.819 0.000 0.295
Pt 0.123 0.500 0.912
Pt 0.377 0.000 0.088
Pt 0.623 0.000 0.912
Pt 0.877 0.500 0.088
! - VASP energy: -7.69 eV per atom
! - Space-group type: No. 12
! - ΔH_f (0 K): -1019.6 meV/atom
! - M_tot: 0.00 μB per formula unit



Entry 3:
! ZrPPt2 PBE relaxed; values from VASP
&SYSTEM
  ibrav = 0, nat = 4, ntyp = 3
/
ATOMIC_SPECIES
Zr 91.22 Zr.upf
P 30.97 P.upf
Pt 195.08 Pt.upf
CELL_PARAMETERS angstrom
3.864 0.000 0.000
0.000 3.864 0.000
0.000 0.000 4.416
ATOMIC_POSITIONS crystal
Zr 0.000 0.000 0.000
P 0.500 0.500 0.000
Pt 0.000 0.500 0.500
Pt 0.500 0.000 0.500
! - VASP energy: -7.20 eV per atom
! - Space-group type: No. 123
! - ΔH_f (0 K): -690.8 meV/atom
! - M_tot: 0.00 μB per formula unit



Entry 4:
! ZrPPt2 PBE relaxed; values from VASP
&SYSTEM
  ibrav = 0, nat = 4, ntyp = 3
/
ATOMIC_SPECIES
Zr 91.22 Zr.upf
P 30.97 P.upf
Pt 195.08 Pt.upf
CELL_PARAMETERS angstrom
3.108 0.000 0.000
0.000 3.108 0.000
0.000 0.000 6.903
ATOMIC_POSITIONS crystal
Zr 0.000 0.000 0.000
P 0.000 0.000 0.500
Pt 0.500 0.500 0.285
Pt 0.500 0.500 0.715
! - VASP energy: -7.00 eV per atom
! - Space-group type: No. 123
! - ΔH_f (0 K): -490.3 meV/atom
! - M_tot: 0.00 μB per formula unit



Q: Look up the M_tot of the first one.
A: 0.00 μB per formula unit